Compound: ErTaGe2
Source: Alexandria via LeMat-Bulk
Functional: PBE
Structure: relaxed

Summary:
ΔE_f = -420.5 meV per atom
V = 83 Å³/cell
SG = R-3m, No. 166

Lattice parameters (Å, degrees): 6.8470 6.8470 6.8470 32.62 32.62 32.62
Element x y z (fractional)
Er 0.0000 0.0000 0.0000
Ta 0.5000 0.5000 0.5000
Ge 0.2416 0.2416 0.2416
Ge 0.7584 0.7584 0.7584

---

Compound: LiPrGa6
Source: Alexandria via LeMat-Bulk
Functional: PBE
Structure: relaxed

Summary:
ΔE_f = -306.6 meV per atom
V = 157 Å³/cell
SG = Pmm2, No. 25

Lattice parameters (Å, degrees): 4.4091 6.5999 5.3820 90.00 90.00 90.00
Element x y z (fractional)
Li 0.0000 0.0000 0.0000
Pr 0.5000 0.5000 0.7089
Ga 0.0000 0.2016 0.5132
Ga 0.0000 0.5000 0.1490
Ga 0.0000 0.7984 0.5132
Ga 0.5000 0.0000 0.7047
Ga 0.5000 0.2164 0.1954
Ga 0.5000 0.7836 0.1954

---

Compound: Ac4NdEr
Source: Alexandria via LeMat-Bulk
Functional: PBE
Structure: relaxed

Summary:
ΔE_f = 363.0 meV per atom
V = 258 Å³/cell
SG = F-43m, No. 216
excess energy over the best structure of this formula in the dataset = 317.5 meV per atom

Lattice parameters (Å, degrees): 7.1503 7.1503 7.1503 60.00 60.00 60.00
Element x y z (fractional)
Ac 0.3757 0.3757 0.3757
Ac 0.3757 0.3757 0.8730
Ac 0.3757 0.8730 0.3757
Ac 0.8730 0.3757 0.3757
Nd 0.0000 0.0000 0.0000
Er 0.7500 0.7500 0.7500

---

Compound: Re3Cl
Source: Alexandria via LeMat-Bulk
Functional: PBE
Structure: relaxed

Summary:
energy relative to the elements, uncorrected = 0.947 eV per atom
V = 63 Å³/cell
SG = Pmm2, No. 25
excess energy over the best structure of this formula in the dataset = 528.5 meV per atom

Lattice parameters (Å, degrees): 2.8098 4.2685 5.2144 90.00 90.00 90.00
Element x y z (fractional)
Re 0.0000 0.0000 0.0000
Re 0.0000 0.5000 0.2794
Re 0.5000 0.5000 0.7944
Cl 0.5000 0.0000 0.5688

---

Compound: AlW2Au
Source: Alexandria via LeMat-Bulk
Functional: PBE
Structure: relaxed

Summary:
ΔE_f = 75.6 meV per atom
V = 65 Å³/cell
SG = Cmm2, No. 35

Lattice parameters (Å, degrees): 2.7936 2.7936 8.8420 90.00 90.00 109.15
Element x y z (fractional)
Al 0.0000 0.0000 0.0000
W 0.0000 0.0000 0.4856
W 0.5000 0.5000 0.2407
Au 0.5000 0.5000 0.7566

---

Compound: In2FeHgAs
Source: Alexandria via LeMat-Bulk
Functional: PBE
Structure: relaxed

Summary:
ΔE_f = 73.5 meV per atom
V = 117 Å³/cell
SG = P4/mmm, No. 123

Lattice parameters (Å, degrees): 5.1356 5.1356 4.4233 90.00 90.00 90.00
Element x y z (fractional)
In 0.0000 0.5000 0.0000
In 0.5000 0.0000 0.0000
Fe 0.0000 0.0000 0.0000
Hg 0.5000 0.5000 0.5000
As 0.0000 0.0000 0.5000

---

Compound: Nd2Sm6In
Source: Alexandria via LeMat-Bulk
Functional: PBE
Structure: relaxed

Summary:
ΔE_f = -69.3 meV per atom
V = 589 Å³/cell
SG = P4_2/mnm, No. 136
excess energy over the best structure of this formula in the dataset = 17.6 meV per atom

Lattice parameters (Å, degrees): 10.8549 10.8549 4.9971 90.00 90.00 90.00
Element x y z (fractional)
Nd 0.1605 0.1605 0.0000
Nd 0.3395 0.6605 0.5000
Nd 0.6605 0.3395 0.5000
Nd 0.8395 0.8395 0.0000
Sm 0.0001 0.3342 0.5000
Sm 0.9999 0.6658 0.5000
Sm 0.1607 0.8393 0.0000
Sm 0.1658 0.5001 0.0000
Sm 0.3342 0.0001 0.5000
Sm 0.3393 0.3393 0.5000
Sm 0.5001 0.1658 0.0000
Sm 0.4999 0.8342 0.0000
Sm 0.6607 0.6607 0.5000
Sm 0.6658 0.9999 0.5000
Sm 0.8342 0.4999 0.0000
Sm 0.8393 0.1607 0.0000
In 0.0000 0.0000 0.5000
In 0.5000 0.5000 0.0000

---

Compound: Pr4As2SeBr
Source: Alexandria via LeMat-Bulk
Functional: PBE
Structure: relaxed

Summary:
energy relative to the elements, uncorrected = -1.583 eV per atom
V = 228 Å³/cell
SG = P2/m, No. 10

Lattice parameters (Å, degrees): 7.4470 4.2830 7.5688 90.00 108.99 90.00
Element x y z (fractional)
Pr 0.2303 0.0000 0.2219
Pr 0.2464 0.5000 0.7710
Pr 0.7536 0.5000 0.2290
Pr 0.7697 0.0000 0.7781
As 0.0000 0.5000 0.0000
As 0.5000 0.0000 0.0000
Se 0.0000 0.0000 0.5000
Br 0.5000 0.5000 0.5000